(1)
Entry from the Alexandria database: a relaxed TbMg8Tl6 crystal (GGA-PBE).

The value obtained for the density of states at the Fermi level is 0.52 states/eV/atom. Its formation energy is 0.25 eV per formula unit.

The structure belongs to space group R-3 (No. 148, hexagonal axes); the cell edges are 8.6500, 8.6500 and 18.8367 Å and the angles 90.00°, 90.00° and 120.00°. The distinct sites, in fractional coordinates, are Tb at (0.0000, 0.0000, 0.0000), Mg at (0.0000, 0.0000, 0.3338), Mg at (0.0013, 0.3298, 0.4426) and Tl at (0.0017, 0.3305, 0.2672).

(2)
Entry from the Alexandria database: a relaxed Tb2Mg3Tl crystal (GGA-PBE).

The value obtained for the density of states at the Fermi level is 0.83 states/eV/atom. Its formation energy is -0.99 eV per formula unit.

The structure belongs to space group Fmmm (No. 69); the cell edges are 6.9063, 10.2567 and 17.6701 Å and the angles 90.00°, 90.00° and 90.00°. The distinct sites, in fractional coordinates, are Tb at (0.2491, 0.0000, 0.0000), Tb at (0.2500, 0.2500, 0.2500), Mg at (0.0000, 0.0000, 0.3334), Mg at (0.0000, 0.2490, 0.0829) and Tl at (0.0000, 0.0000, 0.1663).